Record 1
The following is a DFT calculation (GGA-PBEsol) of a relaxed structure of CoBiO3.

```
data_CoBiO3
_cell_length_a 3.6749
_cell_length_b 3.6749
_cell_length_c 4.1340
_cell_angle_alpha 90.00
_cell_angle_beta 90.00
_cell_angle_gamma 90.00
_space_group_name_H-M_alt 'P 4 m m'
_space_group_IT_number 99
_space_group_name_Hall 'P 4 -2'
loop_
_atom_site_label
_atom_site_fract_x
_atom_site_fract_y
_atom_site_fract_z
Co1 0.0000 0.0000 0.0000
Bi1 0.5000 0.5000 0.5626
O1 0.0000 0.0000 0.4442
O2 0.0000 0.5000 0.9150
```

## Properties
- density (g cm⁻³) = 9.4
- total magnetization (μB per formula unit) = 0.00
- crystal system = tetragonal
- total DFT energy (no corrections) (Ha/atom) = -0.242
- Fermi-level density of states (states/eV/atom) = 0.76


Record 2
The following is a DFT calculation (GGA-PBEsol) of a relaxed structure of LiTiSe2.

```
data_LiTiSe2
_cell_length_a 5.8889
_cell_length_b 5.8889
_cell_length_c 11.0654
_cell_angle_alpha 90.00
_cell_angle_beta 90.00
_cell_angle_gamma 90.00
_space_group_name_H-M_alt 'I -4 2 d'
_space_group_IT_number 122
_space_group_name_Hall 'I -4 2bw'
loop_
_atom_site_label
_atom_site_fract_x
_atom_site_fract_y
_atom_site_fract_z
Li1 0.0000 0.0000 0.0000
Ti1 0.0000 0.0000 0.5000
Se1 0.2349 0.2500 0.6250
```

## Properties
- density (g cm⁻³) = 3.7
- total magnetization (μB per formula unit) = 1.00
- crystal system = tetragonal
- total DFT energy (no corrections) (Ha/atom) = -0.201
- Fermi-level density of states (states/eV/atom) = 0.87


Record 3
The following is a DFT calculation (GGA-PBEsol) of a relaxed structure of Nd2TeO2.

```
data_Nd2TeO2
_cell_length_a 4.0188
_cell_length_b 4.0188
_cell_length_c 12.7662
_cell_angle_alpha 90.00
_cell_angle_beta 90.00
_cell_angle_gamma 90.00
_space_group_name_H-M_alt 'I 4/m m m'
_space_group_IT_number 139
_space_group_name_Hall '-I 4 2'
loop_
_atom_site_label
_atom_site_fract_x
_atom_site_fract_y
_atom_site_fract_z
Nd1 0.0000 0.0000 0.1591
Te1 0.0000 0.0000 0.5000
O1 0.0000 0.5000 0.2500
```

## Properties
- density (g cm⁻³) = 7.2
- total magnetization (μB per formula unit) = 0.00
- crystal system = tetragonal
- total DFT energy (no corrections) (Ha/atom) = -0.286
- Fermi-level density of states (states/eV/atom) = 0.00


Record 4
The following is a DFT calculation (GGA-PBEsol) of a relaxed structure of KScOs.

```
data_KScOs
_cell_length_a 6.4797
_cell_length_b 6.4797
_cell_length_c 6.4797
_cell_angle_alpha 90.00
_cell_angle_beta 90.00
_cell_angle_gamma 90.00
_space_group_name_H-M_alt 'F -4 3 m'
_space_group_IT_number 216
_space_group_name_Hall 'F -4 2 3'
loop_
_atom_site_label
_atom_site_fract_x
_atom_site_fract_y
_atom_site_fract_z
K1 0.0000 0.0000 0.0000
Sc1 0.2500 0.2500 0.2500
Os1 0.0000 0.0000 0.5000
```

## Properties
- density (g cm⁻³) = 6.7
- total magnetization (μB per formula unit) = 0.00
- crystal system = cubic
- total DFT energy (no corrections) (Ha/atom) = -0.192
- Fermi-level density of states (states/eV/atom) = 0.67


Record 5
The following is a DFT calculation (GGA-PBEsol) of a relaxed structure of LaMnIn.

```
data_LaMnIn
_cell_length_a 4.7975
_cell_length_b 4.7975
_cell_length_c 3.7254
_cell_angle_alpha 90.00
_cell_angle_beta 90.00
_cell_angle_gamma 120.00
_space_group_name_H-M_alt 'P -6 m 2'
_space_group_IT_number 187
_space_group_name_Hall 'P -6 2'
loop_
_atom_site_label
_atom_site_fract_x
_atom_site_fract_y
_atom_site_fract_z
La1 0.0000 0.0000 0.0000
Mn1 0.3333 0.6667 0.5000
In1 0.6667 0.3333 0.5000
```

## Properties
- density (g cm⁻³) = 6.9
- total magnetization (μB per formula unit) = 3.62
- crystal system = hexagonal
- total DFT energy (no corrections) (Ha/atom) = -0.221
- Fermi-level density of states (states/eV/atom) = 0.83


Record 6
The following is a DFT calculation (GGA-PBEsol) of a relaxed structure of Mg3As.

```
data_Mg3As
_cell_length_a 9.7198
_cell_length_b 6.6379
_cell_length_c 5.2107
_cell_angle_alpha 90.00
_cell_angle_beta 90.00
_cell_angle_gamma 90.00
_space_group_name_H-M_alt 'C m c m'
_space_group_IT_number 63
_space_group_name_Hall '-C 2c 2'
loop_
_atom_site_label
_atom_site_fract_x
_atom_site_fract_y
_atom_site_fract_z
Mg1 0.0000 0.1730 0.2500
Mg2 0.2185 0.1324 0.7500
As1 0.0000 0.4246 0.7500
```

## Properties
- density (g cm⁻³) = 2.9
- total magnetization (μB per formula unit) = 0.00
- crystal system = orthorhombic
- total DFT energy (no corrections) (Ha/atom) = -0.097
- Fermi-level density of states (states/eV/atom) = 0.33


Record 7
The following is a DFT calculation (GGA-PBEsol) of a relaxed structure of SrSiP2.

```
data_SrSiP2
_cell_length_a 3.6738
_cell_length_b 4.9587
_cell_length_c 5.2426
_cell_angle_alpha 104.66
_cell_angle_beta 92.22
_cell_angle_gamma 111.39
_space_group_name_H-M_alt 'P 1'
_space_group_IT_number 1
_space_group_name_Hall 'P 1'
loop_
_atom_site_label
_atom_site_fract_x
_atom_site_fract_y
_atom_site_fract_z
Sr1 0.0000 0.0000 0.0000
Si1 0.8571 0.5365 0.3729
P1 0.3285 0.4331 0.6214
P2 0.4077 0.9924 0.5116
```

## Properties
- density (g cm⁻³) = 3.5
- total magnetization (μB per formula unit) = 0.00
- crystal system = triclinic
- total DFT energy (no corrections) (Ha/atom) = -0.194


Record 8
The following is a DFT calculation (GGA-PBEsol) of a relaxed structure of Ba2HfZr2.

```
data_Ba2HfZr2
_cell_length_a 4.3781
_cell_length_b 4.3781
_cell_length_c 15.8570
_cell_angle_alpha 90.00
_cell_angle_beta 90.00
_cell_angle_gamma 90.00
_space_group_name_H-M_alt 'I 4/m m m'
_space_group_IT_number 139
_space_group_name_Hall '-I 4 2'
loop_
_atom_site_label
_atom_site_fract_x
_atom_site_fract_y
_atom_site_fract_z
Ba1 0.0000 0.5000 0.2500
Hf1 0.0000 0.0000 0.0000
Zr1 0.0000 0.0000 0.4231
```

## Properties
- density (g cm⁻³) = 6.9
- total magnetization (μB per formula unit) = 0.58
- crystal system = tetragonal
- total DFT energy (no corrections) (Ha/atom) = -0.206
- Fermi-level density of states (states/eV/atom) = 1.66


Record 9
The following is a DFT calculation (GGA-PBEsol) of a relaxed structure of TcTeAs2Se.

```
data_TcTeAs2Se
_cell_length_a 4.8541
_cell_length_b 4.8541
_cell_length_c 4.6594
_cell_angle_alpha 90.00
_cell_angle_beta 90.00
_cell_angle_gamma 90.00
_space_group_name_H-M_alt 'P 4/m m m'
_space_group_IT_number 123
_space_group_name_Hall '-P 4 2'
loop_
_atom_site_label
_atom_site_fract_x
_atom_site_fract_y
_atom_site_fract_z
Tc1 0.0000 0.0000 0.0000
Te1 0.5000 0.5000 0.5000
As1 0.0000 0.5000 0.0000
Se1 0.0000 0.0000 0.5000
```

## Properties
- density (g cm⁻³) = 6.9
- total magnetization (μB per formula unit) = 0.00
- crystal system = tetragonal
- total DFT energy (no corrections) (Ha/atom) = -0.199
- Fermi-level density of states (states/eV/atom) = 0.70


Record 10
The following is a DFT calculation (GGA-PBEsol) of a relaxed structure of MnAg2Au.

```
data_MnAg2Au
_cell_length_a 3.2565
_cell_length_b 3.2565
_cell_length_c 6.0874
_cell_angle_alpha 90.00
_cell_angle_beta 90.00
_cell_angle_gamma 90.00
_space_group_name_H-M_alt 'P 4 m m'
_space_group_IT_number 99
_space_group_name_Hall 'P 4 -2'
loop_
_atom_site_label
_atom_site_fract_x
_atom_site_fract_y
_atom_site_fract_z
Mn1 0.0000 0.0000 0.0000
Ag1 0.0000 0.0000 0.5051
Ag2 0.5000 0.5000 0.2492
Au1 0.5000 0.5000 0.7720
```

## Properties
- density (g cm⁻³) = 12.0
- total magnetization (μB per formula unit) = 4.10
- crystal system = tetragonal
- total DFT energy (no corrections) (Ha/atom) = -0.183
- Fermi-level density of states (states/eV/atom) = 0.43


Record 11
The following is a DFT calculation (GGA-PBEsol) of a relaxed structure of AsRuRh2.

```
data_AsRuRh2
_cell_length_a 2.7930
_cell_length_b 4.4436
_cell_length_c 4.4622
_cell_angle_alpha 90.00
_cell_angle_beta 90.00
_cell_angle_gamma 90.00
_space_group_name_H-M_alt 'P m m m'
_space_group_IT_number 47
_space_group_name_Hall '-P 2 2'
loop_
_atom_site_label
_atom_site_fract_x
_atom_site_fract_y
_atom_site_fract_z
As1 0.0000 0.0000 0.0000
Ru1 0.5000 0.5000 0.0000
Rh1 0.0000 0.5000 0.5000
Rh2 0.5000 0.0000 0.5000
```

## Properties
- density (g cm⁻³) = 11.4
- total magnetization (μB per formula unit) = 0.00
- crystal system = orthorhombic
- total DFT energy (no corrections) (Ha/atom) = -0.286
- Fermi-level density of states (states/eV/atom) = 1.32


Record 12
The following is a DFT calculation (GGA-PBEsol) of a relaxed structure of Li2YSi2.

```
data_Li2YSi2
_cell_length_a 3.9473
_cell_length_b 3.9473
_cell_length_c 11.2013
_cell_angle_alpha 90.00
_cell_angle_beta 90.00
_cell_angle_gamma 90.00
_space_group_name_H-M_alt 'I 4/m m m'
_space_group_IT_number 139
_space_group_name_Hall '-I 4 2'
loop_
_atom_site_label
_atom_site_fract_x
_atom_site_fract_y
_atom_site_fract_z
Li1 0.0000 0.5000 0.2500
Y1 0.0000 0.0000 0.0000
Si1 0.0000 0.0000 0.3968
```

## Properties
- density (g cm⁻³) = 3.0
- total magnetization (μB per formula unit) = 0.00
- E above lowest polymorph (meV/atom) = 0.0
- crystal system = tetragonal
- Fermi-level density of states (states/eV/atom) = 0.26


Record 13
The following is a DFT calculation (GGA-PBEsol) of a relaxed structure of Y2IrSe.

```
data_Y2IrSe
_cell_length_a 3.9327
_cell_length_b 3.9327
_cell_length_c 20.7408
_cell_angle_alpha 90.00
_cell_angle_beta 90.00
_cell_angle_gamma 120.00
_space_group_name_H-M_alt 'R -3 m'
_space_group_IT_number 166
_space_group_name_Hall '-R 3 2"'
loop_
_atom_site_label
_atom_site_fract_x
_atom_site_fract_y
_atom_site_fract_z
Y1 0.0000 0.0000 0.2429
Ir1 0.0000 0.0000 0.5000
Se1 0.0000 0.0000 0.0000
```

## Properties
- density (g cm⁻³) = 8.1
- total magnetization (μB per formula unit) = 0.00
- crystal system = trigonal
- total DFT energy (no corrections) (Ha/atom) = -0.296
- Fermi-level density of states (states/eV/atom) = 0.52


Record 14
The following is a DFT calculation (GGA-PBEsol) of a relaxed structure of K2NaHf.

```
data_K2NaHf
_cell_length_a 9.6111
_cell_length_b 9.6111
_cell_length_c 7.1388
_cell_angle_alpha 90.00
_cell_angle_beta 90.00
_cell_angle_gamma 90.00
_space_group_name_H-M_alt 'I -4 2 d'
_space_group_IT_number 122
_space_group_name_Hall 'I -4 2bw'
loop_
_atom_site_label
_atom_site_fract_x
_atom_site_fract_y
_atom_site_fract_z
K1 0.2302 0.7500 0.1250
Na1 0.0000 0.0000 0.0000
Hf1 0.0000 0.0000 0.5000
```

## Properties
- density (g cm⁻³) = 2.8
- total magnetization (μB per formula unit) = 2.69
- E above lowest polymorph (meV/atom) = 73.3
- crystal system = tetragonal
- Fermi-level density of states (states/eV/atom) = 1.72


Record 15
The following is a DFT calculation (GGA-PBEsol) of a relaxed structure of YHf2IrPb.

```
data_YHf2IrPb
_cell_length_a 5.1485
_cell_length_b 5.1485
_cell_length_c 5.4157
_cell_angle_alpha 90.00
_cell_angle_beta 90.00
_cell_angle_gamma 90.00
_space_group_name_H-M_alt 'P 4/m m m'
_space_group_IT_number 123
_space_group_name_Hall '-P 4 2'
loop_
_atom_site_label
_atom_site_fract_x
_atom_site_fract_y
_atom_site_fract_z
Y1 0.0000 0.0000 0.0000
Hf1 0.0000 0.5000 0.5000
Ir1 0.5000 0.5000 0.0000
Pb1 0.0000 0.0000 0.5000
```

## Properties
- density (g cm⁻³) = 9.8
- total magnetization (μB per formula unit) = 0.00
- crystal system = tetragonal
- total DFT energy (no corrections) (Ha/atom) = -0.248
- Fermi-level density of states (states/eV/atom) = 1.64


Record 16
The following is a DFT calculation (GGA-PBEsol) of a relaxed structure of Sr4LaMn5O15.

```
data_Sr4LaMn5O15
_cell_length_a 16.1291
_cell_length_b 5.3790
_cell_length_c 6.5850
_cell_angle_alpha 90.00
_cell_angle_beta 105.74
_cell_angle_gamma 90.00
_space_group_name_H-M_alt 'C 1 2/m 1'
_space_group_IT_number 12
_space_group_name_Hall '-C 2y'
loop_
_atom_site_label
_atom_site_fract_x
_atom_site_fract_y
_atom_site_fract_z
Sr1 0.1003 0.0000 0.4013
Sr2 0.2003 0.5000 0.7996
La1 0.0000 0.5000 0.0000
Mn1 0.0000 0.5000 0.5000
Mn2 0.1010 0.0000 0.9003
Mn3 0.2007 0.5000 0.3018
O1 0.0000 0.0000 0.0000
O2 0.0488 0.2536 0.7050
O3 0.0984 0.5000 0.3952
O4 0.1459 0.2542 0.0991
O5 0.2011 0.0000 0.8051
O6 0.2500 0.2500 0.5000
```

## Properties
- density (g cm⁻³) = 6.1
- total magnetization (μB per formula unit) = 16.02
- crystal system = monoclinic
- total DFT energy (no corrections) (Ha/atom) = -0.294
- Fermi-level density of states (states/eV/atom) = 0.06


Record 17
The following is a DFT calculation (GGA-PBEsol) of a relaxed structure of Sr2InPd2.

```
data_Sr2InPd2
_cell_length_a 10.3037
_cell_length_b 5.9774
_cell_length_c 8.2846
_cell_angle_alpha 90.00
_cell_angle_beta 103.65
_cell_angle_gamma 90.00
_space_group_name_H-M_alt 'C 1 2/c 1'
_space_group_IT_number 15
_space_group_name_Hall '-C 2yc'
loop_
_atom_site_label
_atom_site_fract_x
_atom_site_fract_y
_atom_site_fract_z
Sr1 0.1481 0.1404 0.1472
In1 0.0000 0.3649 0.7500
Pd1 0.1343 0.3634 0.5029
```

## Properties
- density (g cm⁻³) = 6.7
- total magnetization (μB per formula unit) = 0.00
- crystal system = monoclinic
- total DFT energy (no corrections) (Ha/atom) = -0.160
- Fermi-level density of states (states/eV/atom) = 0.39


Record 18
The following is a DFT calculation (GGA-PBEsol) of a relaxed structure of KTaHg.

```
data_KTaHg
_cell_length_a 7.3369
_cell_length_b 7.3369
_cell_length_c 7.3369
_cell_angle_alpha 90.00
_cell_angle_beta 90.00
_cell_angle_gamma 90.00
_space_group_name_H-M_alt 'F -4 3 m'
_space_group_IT_number 216
_space_group_name_Hall 'F -4 2 3'
loop_
_atom_site_label
_atom_site_fract_x
_atom_site_fract_y
_atom_site_fract_z
K1 0.0000 0.0000 0.0000
Ta1 0.2500 0.2500 0.7500
Hg1 0.2500 0.2500 0.2500
```

## Properties
- density (g cm⁻³) = 7.1
- total magnetization (μB per formula unit) = 4.02
- crystal system = cubic
- total DFT energy (no corrections) (Ha/atom) = -0.094
- Fermi-level density of states (states/eV/atom) = 2.23


Record 19
The following is a DFT calculation (GGA-PBEsol) of a relaxed structure of CsCu4Se3.

```
data_CsCu4Se3
_cell_length_a 3.9827
_cell_length_b 3.9827
_cell_length_c 10.1273
_cell_angle_alpha 90.00
_cell_angle_beta 90.00
_cell_angle_gamma 90.00
_space_group_name_H-M_alt 'P 4/m m m'
_space_group_IT_number 123
_space_group_name_Hall '-P 4 2'
loop_
_atom_site_label
_atom_site_fract_x
_atom_site_fract_y
_atom_site_fract_z
Cs1 0.0000 0.0000 0.0000
Cu1 0.0000 0.5000 0.3485
Se1 0.0000 0.0000 0.5000
Se2 0.5000 0.5000 0.2168
```

## Properties
- density (g cm⁻³) = 6.5
- total magnetization (μB per formula unit) = 0.00
- crystal system = tetragonal
- total DFT energy (no corrections) (Ha/atom) = -0.150
- Fermi-level density of states (states/eV/atom) = 0.53


Record 20
The following is a DFT calculation (GGA-PBEsol) of a relaxed structure of La2PtPb.

```
data_La2PtPb
_cell_length_a 3.6283
_cell_length_b 3.6283
_cell_length_c 8.1506
_cell_angle_alpha 90.00
_cell_angle_beta 90.00
_cell_angle_gamma 90.00
_space_group_name_H-M_alt 'P 4/m m m'
_space_group_IT_number 123
_space_group_name_Hall '-P 4 2'
loop_
_atom_site_label
_atom_site_fract_x
_atom_site_fract_y
_atom_site_fract_z
La1 0.0000 0.0000 0.2125
Pt1 0.5000 0.5000 0.0000
Pb1 0.5000 0.5000 0.5000
```

## Properties
- density (g cm⁻³) = 10.5
- total magnetization (μB per formula unit) = 0.00
- crystal system = tetragonal
- total DFT energy (no corrections) (Ha/atom) = -0.229
- Fermi-level density of states (states/eV/atom) = 0.53